Compound: TaVO2F
Source: the Alexandria database
Functional: GGA+U
Structure: optimized geometry

* calculated volume: 13.451 Å³/atom
* M_tot: 3.5 μB per formula unit
* total energy: -38.769 eV per cell

Unit cell a=4.0150 b=4.0150 c=4.1722 alpha=90.00 beta=90.00 gamma=90.00
Space group P4/mmm (No. 123)
Asymmetric unit:
Ta (0.0000, 0.0000, 0.0000)
V (0.5000, 0.5000, 0.5000)
O (0.0000, 0.5000, 0.0000)
F (0.0000, 0.0000, 0.5000)